a) ## NbTlSi2 (PBE)

Data for an optimized crystal structure of NbTlSi2.

Space group: I-42d

POSCAR file:
```
NbTlSi2
1.0
6.305 0.000 0.000
0.000 6.305 0.000
0.000 0.000 10.889
Nb Tl Si
4 4 8
Cartesian
0.000 0.000 0.000
0.000 3.152 2.722
3.152 0.000 8.167
3.152 3.152 5.445
0.000 0.000 5.445
0.000 3.152 8.167
3.152 0.000 2.722
3.152 3.152 0.000
1.389 1.576 1.361
1.576 4.541 4.083
1.576 4.916 9.528
1.764 1.576 6.806
4.541 4.729 6.806
4.729 1.389 9.528
4.729 1.764 4.083
4.916 4.729 1.361
```

b) ## NbTlSi2 (PBE)

Data for an optimized crystal structure of NbTlSi2.

Space group: Fm-3m

POSCAR file:
```
NbTlSi2
1.0
6.678 0.000 0.000
0.000 6.678 0.000
0.000 0.000 6.678
Nb Tl Si
4 4 8
Cartesian
0.000 0.000 0.000
0.000 3.339 3.339
3.339 0.000 3.339
3.339 3.339 0.000
0.000 0.000 3.339
0.000 3.339 0.000
3.339 0.000 0.000
3.339 3.339 3.339
1.670 1.670 1.670
1.670 1.670 5.009
1.670 5.009 1.670
1.670 5.009 5.009
5.009 1.670 1.670
5.009 1.670 5.009
5.009 5.009 1.670
5.009 5.009 5.009
```

Which of them is the least stable? Correct choice: a).

a) ## TmNbSi2 (PBE)

Data for an optimized crystal structure of TmNbSi2.

Space group: P2/c

POSCAR file:
```
TmNbSi2
1.0
5.303 0.000 0.000
0.000 5.347 0.000
-2.674 0.000 9.947
Tm Nb Si
4 4 8
Cartesian
0.660 0.675 1.481
-0.677 4.672 6.454
3.305 0.675 3.492
1.968 4.672 8.466
-0.697 1.973 8.550
0.640 3.374 3.577
1.989 1.973 6.370
3.326 3.374 1.397
-0.680 2.009 5.818
0.657 3.339 0.844
0.659 0.736 4.274
-0.678 4.611 9.247
3.306 0.736 0.700
1.969 4.611 5.673
1.972 2.009 9.102
3.309 3.339 4.129
```

b) ## TmNbSi2 (PBE)

Data for an optimized crystal structure of TmNbSi2.

Space group: Pmc2_1

POSCAR file:
```
TmNbSi2
1.0
3.789 0.000 0.000
0.000 5.335 0.000
0.000 0.000 6.994
Tm Nb Si
2 2 4
Cartesian
0.000 0.673 0.000
0.000 4.662 3.497
1.894 2.002 2.457
1.894 3.334 5.954
0.000 2.081 4.411
0.000 3.254 0.914
1.894 0.664 4.989
1.894 4.671 1.492
```

Which of them is the least stable? Correct choice: a).

a) ## NbVSi2 (PBE)

Data for an optimized crystal structure of NbVSi2.

Space group: I-42d

POSCAR file:
```
NbVSi2
1.0
3.720 0.000 0.000
0.000 3.720 0.000
0.000 0.000 18.204
Nb V Si
4 4 8
Cartesian
0.000 0.000 0.000
0.000 1.860 4.551
1.860 0.000 13.653
1.860 1.860 9.102
0.000 0.000 9.102
0.000 1.860 13.653
1.860 0.000 4.551
1.860 1.860 0.000
0.844 0.930 11.378
0.930 2.704 15.929
0.930 2.875 6.827
1.016 0.930 2.276
2.704 2.790 2.276
2.790 0.844 6.827
2.790 1.016 15.929
2.875 2.790 11.378
```

b) ## NbVSi2 (PBE)

Data for an optimized crystal structure of NbVSi2.

Space group: Fm-3m

POSCAR file:
```
NbVSi2
1.0
6.168 0.000 0.000
0.000 6.168 0.000
0.000 0.000 6.168
Nb V Si
4 4 8
Cartesian
0.000 0.000 0.000
0.000 3.084 3.084
3.084 0.000 3.084
3.084 3.084 0.000
0.000 0.000 3.084
0.000 3.084 0.000
3.084 0.000 0.000
3.084 3.084 3.084
1.542 1.542 1.542
1.542 1.542 4.626
1.542 4.626 1.542
1.542 4.626 4.626
4.626 1.542 1.542
4.626 1.542 4.626
4.626 4.626 1.542
4.626 4.626 4.626
```

c) ## NbVSi2 (PBE)

Data for an optimized crystal structure of NbVSi2.

Space group: R-3m

POSCAR file:
```
NbVSi2
1.0
3.666 0.000 0.000
-1.833 3.175 0.000
0.000 0.000 16.225
Nb V Si
3 3 6
Cartesian
0.000 0.000 0.000
0.000 2.117 10.817
1.833 1.058 5.408
0.000 0.000 8.113
0.000 2.117 2.704
1.833 1.058 13.521
0.000 0.000 3.928
0.000 0.000 12.297
0.000 2.117 6.889
0.000 2.117 14.745
1.833 1.058 1.480
1.833 1.058 9.337
```

d) ## NbVSi2 (PBE)

Data for an optimized crystal structure of NbVSi2.

Space group: P4/mmm

POSCAR file:
```
NbVSi2
1.0
2.831 0.000 0.000
0.000 2.831 0.000
0.000 0.000 7.168
Nb V Si
1 1 2
Cartesian
0.000 0.000 0.000
0.000 0.000 3.584
1.415 1.415 1.950
1.415 1.415 5.218
```

Which of them is the least stable? Correct choice: a).

a) ## NbVSi3 (PBE)

Data for an optimized crystal structure of NbVSi3.

Space group: Pm-3m

POSCAR file:
```
NbVSi3
1.0
4.808 0.000 0.000
0.000 4.808 0.000
0.000 0.000 4.808
Nb V Si
1 1 3
Cartesian
0.000 0.000 0.000
2.404 2.404 2.404
0.000 0.000 2.404
0.000 2.404 0.000
2.404 0.000 0.000
```

b) ## NbVSi3 (PBE)

Data for an optimized crystal structure of NbVSi3.

Space group: Pm-3m

POSCAR file:
```
NbVSi3
1.0
4.440 0.000 0.000
0.000 4.440 0.000
0.000 0.000 4.440
Nb V Si
1 1 3
Cartesian
0.000 0.000 0.000
2.220 2.220 2.220
0.000 2.220 2.220
2.220 0.000 2.220
2.220 2.220 0.000
```

Which of them is the least stable? Correct choice: a).

a) ## NbV2Si2 (PBE)

Data for an optimized crystal structure of NbV2Si2.

Space group: I4/mmm

POSCAR file:
```
NbV2Si2
1.0
3.613 0.000 0.000
0.000 3.613 0.000
0.000 0.000 11.175
Nb V Si
2 4 4
Cartesian
0.000 0.000 0.000
1.806 1.806 5.587
0.000 1.806 2.794
0.000 1.806 8.381
1.806 0.000 2.794
1.806 0.000 8.381
0.000 0.000 4.450
0.000 0.000 6.725
1.806 1.806 1.138
1.806 1.806 10.037
```

b) ## NbV2Si2 (PBE)

Data for an optimized crystal structure of NbV2Si2.

Space group: P4/mbm

POSCAR file:
```
NbV2Si2
1.0
6.632 0.000 0.000
0.000 6.632 0.000
0.000 0.000 3.228
Nb V Si
2 4 4
Cartesian
0.000 0.000 0.000
3.316 3.316 0.000
1.116 2.200 1.614
2.200 5.516 1.614
4.432 1.116 1.614
5.516 4.432 1.614
0.850 4.167 0.000
2.466 0.850 0.000
4.167 5.782 0.000
5.782 2.466 0.000
```

Which of them is the least stable? Correct choice: a).